(1)
# NdB2HF10 | Alexandria | PBE | optimized geometry
data_NdB2HF10
_cell_length_a 7.203
_cell_length_b 5.911
_cell_length_c 8.911
_cell_angle_alpha 90.00
_cell_angle_beta 112.59
_cell_angle_gamma 90.00
_space_group_name_H-M_alt 'P 1 21/m 1'
_space_group_IT_number 11
loop_
_space_group_symop_operation_xyz
'x,y,z'
'-x,-y,-z'
'-x,y+1/2,-z'
'x,-y+1/2,z'
loop_
_atom_site_label
_atom_site_fract_x
_atom_site_fract_y
_atom_site_fract_z
Nd1 0.229 0.250 0.158
B1 0.261 0.750 0.453
B2 0.423 0.250 0.812
H1 0.068 0.750 0.647
F1 0.000 0.000 0.000
F2 0.058 0.750 0.754
F3 0.088 0.750 0.491
F4 0.258 0.555 0.359
F5 0.287 0.250 0.895
F6 0.323 0.250 0.647
F7 0.435 0.750 0.597
F8 0.450 0.554 0.136
# Total magnetization, μB/cell: 0.23
# E_tot, eV/atom: -5.914

=====

(2)
# Ba2SmAs2O6 | Alexandria | PBE | optimized geometry
data_Ba2SmAs2O6
_cell_length_a 5.7412
_cell_length_b 5.7412
_cell_length_c 19.5759
_cell_angle_alpha 90.00
_cell_angle_beta 90.00
_cell_angle_gamma 120.00
_space_group_name_H-M_alt 'R -3 m'
_space_group_IT_number 166
_space_group_name_Hall '-R 3 2"'
loop_
_atom_site_label
_atom_site_fract_x
_atom_site_fract_y
_atom_site_fract_z
Ba1 0.0000 0.0000 0.2079
Sm1 0.0000 0.0000 0.0000
As1 0.0000 0.0000 0.3800
O1 0.0080 0.5040 0.2443
# Total magnetization, μB/cell: 0.00
# Formation energy without anion corrections, eV per atom: -2.194

=====

(3)
# Li2AgCl4 | Alexandria | PBE | optimized geometry
data_Li2AgCl4
_cell_length_a 5.105
_cell_length_b 5.105
_cell_length_c 13.084
_cell_angle_alpha 90.00
_cell_angle_beta 90.00
_cell_angle_gamma 90.00
_space_group_name_H-M_alt 'I 4/m m m'
_space_group_IT_number 139
_space_group_name_Hall '-I 4 2'
loop_
_atom_site_label
_atom_site_fract_x
_atom_site_fract_y
_atom_site_fract_z
Li1 0.000 0.000 0.133
Ag1 0.000 0.000 0.500
Cl1 0.000 0.000 0.307
Cl2 0.000 0.500 0.000
# Total magnetization, μB/cell: 0.00
# Energy above the most stable polymorph in this dataset, meV per atom: 185.7
# Formation energy without anion corrections, eV per atom: -0.967

=====

(4)
# PaVTe2 | Alexandria | PBE | optimized geometry
data_PaVTe2
_cell_length_a 8.867
_cell_length_b 6.990
_cell_length_c 8.353
_cell_angle_alpha 90.00
_cell_angle_beta 116.43
_cell_angle_gamma 90.00
_space_group_name_H-M_alt 'P 1 21/c 1'
_space_group_IT_number 14
loop_
_space_group_symop_operation_xyz
'x,y,z'
'-x,-y,-z'
'-x,y+1/2,-z+1/2'
'x,-y+1/2,z+1/2'
loop_
_atom_site_label
_atom_site_fract_x
_atom_site_fract_y
_atom_site_fract_z
Pa1 0.007 0.007 0.298
V1 0.110 0.652 0.583
Te1 0.224 0.220 0.126
Te2 0.322 0.745 0.430
# Total magnetization, μB/cell: 0.00
# Formation energy without anion corrections, eV per atom: -0.465

=====

(5)
# Ce2FeH | Alexandria | PBE | optimized geometry
data_Ce2FeH
_cell_length_a 3.151
_cell_length_b 3.151
_cell_length_c 6.509
_cell_angle_alpha 90.00
_cell_angle_beta 90.00
_cell_angle_gamma 90.00
_space_group_name_H-M_alt 'P 4/m m m'
_space_group_IT_number 123
_space_group_name_Hall '-P 4 2'
loop_
_atom_site_label
_atom_site_fract_x
_atom_site_fract_y
_atom_site_fract_z
Ce1 0.000 0.000 0.228
Fe1 0.500 0.500 0.500
H1 0.500 0.500 0.000
# Total magnetization, μB/cell: 0.03
# Energy above the most stable polymorph in this dataset, meV per atom: 63.6

=====

(6)
# Tl2Cd2In15 | Alexandria | PBE | optimized geometry
data_Tl2Cd2In15
_cell_length_a 9.9745
_cell_length_b 9.9745
_cell_length_c 18.8505
_cell_angle_alpha 90.00
_cell_angle_beta 90.00
_cell_angle_gamma 120.00
_space_group_name_H-M_alt 'R -3 m'
_space_group_IT_number 166
_space_group_name_Hall '-R 3 2"'
loop_
_atom_site_label
_atom_site_fract_x
_atom_site_fract_y
_atom_site_fract_z
Tl1 0.0000 0.0000 0.2060
Cd1 0.0000 0.0000 0.3957
In1 0.0000 0.2951 0.5000
In2 0.0000 0.5000 0.0000
In3 0.0578 0.5289 0.6171
# Total magnetization, μB/cell: 0.00
# E_tot, eV/atom: -2.441

=====

(7)
# PaCu2RhO8 | Alexandria | PBE | optimized geometry
data_PaCu2RhO8
_cell_length_a 6.731
_cell_length_b 6.731
_cell_length_c 6.585
_cell_angle_alpha 90.00
_cell_angle_beta 90.00
_cell_angle_gamma 90.00
_space_group_name_H-M_alt 'I -4 m 2'
_space_group_IT_number 119
_space_group_name_Hall 'I -4 -2'
loop_
_atom_site_label
_atom_site_fract_x
_atom_site_fract_y
_atom_site_fract_z
Pa1 0.000 0.000 0.000
Cu1 0.000 0.000 0.500
Cu2 0.000 0.500 0.750
Rh1 0.000 0.500 0.250
O1 0.000 0.190 0.291
O2 0.000 0.332 0.976
# Total magnetization, μB/cell: 0.00
# Formation energy without anion corrections, eV per atom: -1.030

=====

(8)
# Pa2TaSi4Rh3 | Alexandria | PBE | optimized geometry
data_Pa2TaSi4Rh3
_cell_length_a 4.094
_cell_length_b 4.094
_cell_length_c 10.335
_cell_angle_alpha 90.00
_cell_angle_beta 90.00
_cell_angle_gamma 90.00
_space_group_name_H-M_alt 'P -4 m 2'
_space_group_IT_number 115
loop_
_space_group_symop_operation_xyz
'x,y,z'
'y,-x,-z'
'-x,-y,z'
'-y,x,-z'
'-x,y,z'
'-y,-x,-z'
'x,-y,z'
'y,x,-z'
loop_
_atom_site_label
_atom_site_fract_x
_atom_site_fract_y
_atom_site_fract_z
Pa1 0.000 0.500 0.240
Ta1 0.000 0.000 0.500
Si1 0.000 0.000 0.000
Si2 0.000 0.500 0.650
Si3 0.500 0.500 0.000
Rh1 0.000 0.500 0.879
Rh2 0.500 0.500 0.500
# Total magnetization, μB/cell: 0.52
# Formation energy without anion corrections, eV per atom: -0.784

=====

(9)
# NaSmAu2 | Alexandria | PBE | optimized geometry
data_NaSmAu2
_cell_length_a 4.1174
_cell_length_b 4.1174
_cell_length_c 21.9605
_cell_angle_alpha 90.00
_cell_angle_beta 90.00
_cell_angle_gamma 120.00
_space_group_name_H-M_alt 'R 3 m'
_space_group_IT_number 160
_space_group_name_Hall 'R 3 -2"'
loop_
_atom_site_label
_atom_site_fract_x
_atom_site_fract_y
_atom_site_fract_z
Na1 0.0000 0.0000 0.0000
Sm1 0.0000 0.0000 0.1704
Au1 0.0000 0.0000 0.5852
Au2 0.0000 0.0000 0.7531
# Total magnetization, μB/cell: 0.00
# Energy above the most stable polymorph in this dataset, meV per atom: 132.7

=====

(10)
# NaDyIn | Alexandria | PBE | optimized geometry
data_NaDyIn
_cell_length_a 5.2836
_cell_length_b 5.2836
_cell_length_c 3.3668
_cell_angle_alpha 90.00
_cell_angle_beta 90.00
_cell_angle_gamma 120.00
_space_group_name_H-M_alt 'P 3 m 1'
_space_group_IT_number 156
loop_
_space_group_symop_operation_xyz
'x,y,z'
'-y,x-y,z'
'-x+y,-x,z'
'-y,-x,z'
'-x+y,y,z'
'x,x-y,z'
loop_
_atom_site_label
_atom_site_fract_x
_atom_site_fract_y
_atom_site_fract_z
Na1 0.0000 0.0000 0.0000
Dy1 0.6667 0.3333 0.5018
In1 0.3333 0.6667 0.0034
# Total magnetization, μB/cell: 0.00
# Energy above the most stable polymorph in this dataset, meV per atom: 0.0

=====

(11)
# NiSnSb2 | Alexandria | PBE | optimized geometry
data_NiSnSb2
_cell_length_a 4.0178
_cell_length_b 4.0178
_cell_length_c 20.7853
_cell_angle_alpha 90.00
_cell_angle_beta 90.00
_cell_angle_gamma 120.00
_space_group_name_H-M_alt 'R 3 m'
_space_group_IT_number 160
_space_group_name_Hall 'R 3 -2"'
loop_
_atom_site_label
_atom_site_fract_x
_atom_site_fract_y
_atom_site_fract_z
Ni1 0.0000 0.0000 0.0000
Sn1 0.0000 0.0000 0.8448
Sb1 0.0000 0.0000 0.3934
Sb2 0.0000 0.0000 0.6123
# Total magnetization, μB/cell: 0.00
# Formation energy without anion corrections, eV per atom: -0.038

=====

(12)
# Nb6CoC | Alexandria | PBE | optimized geometry
data_Nb6CoC
_cell_length_a 4.848
_cell_length_b 5.325
_cell_length_c 5.466
_cell_angle_alpha 96.71
_cell_angle_beta 111.71
_cell_angle_gamma 90.26
_space_group_name_H-M_alt 'P -1'
_space_group_IT_number 2
loop_
_space_group_symop_operation_xyz
'x,y,z'
'-x,-y,-z'
loop_
_atom_site_label
_atom_site_fract_x
_atom_site_fract_y
_atom_site_fract_z
Nb1 0.064 0.286 0.148
Nb2 0.213 0.848 0.452
Nb3 0.414 0.391 0.748
Co1 0.500 0.000 0.000
C1 0.000 0.500 0.500
# Total magnetization, μB/cell: 1.22
# E_tot, eV/atom: -9.629